1.
The following is a PBE calculation of a relaxed Er3AgAu2 crystal, from the Alexandria database.

Output
Total energy = -4.557 eV per atom

Cell lengths 3.5623, 3.5623, 10.8282 Å; angles 90.00, 90.00, 90.00 degrees
Positions (direct):
Er (0.0000, 0.0000, 0.0000)
Er (0.0000, 0.0000, 0.3290)
Er (0.0000, 0.0000, 0.6710)
Ag (0.5000, 0.5000, 0.5000)
Au (0.5000, 0.5000, 0.1679)
Au (0.5000, 0.5000, 0.8321)

***

2.
The following is a PBE calculation of a relaxed RbMn2GeCl8 crystal, from the Alexandria database.

Output
Energy relative to the elements, uncorrected = -1.100 eV/atom

Cell lengths 6.5787, 6.5787, 9.4523 Å; angles 90.00, 90.00, 120.00 degrees
Positions (direct):
Rb (0.0000, 0.0000, 0.0000)
Mn (0.3333, 0.6667, 0.7316)
Mn (0.6667, 0.3333, 0.2684)
Ge (0.0000, 0.0000, 0.5000)
Cl (0.0056, 0.3147, 0.6628)
Cl (0.3091, 0.9944, 0.6628)
Cl (0.3147, 0.3091, 0.3372)
Cl (0.3333, 0.6667, 0.9697)
Cl (0.6667, 0.3333, 0.0303)
Cl (0.6853, 0.6909, 0.6628)
Cl (0.6909, 0.0056, 0.3372)
Cl (0.9944, 0.6853, 0.3372)

***

3.
The following is a PBE calculation of a relaxed IrRhAu2 crystal, from the Alexandria database.

Output
Total energy = -5.384 eV per atom

Cell lengths 9.4130, 9.4130, 9.4130 Å; angles 17.32, 17.32, 17.32 degrees
Positions (direct):
Ir (0.0000, 0.0000, 0.0000)
Rh (0.5000, 0.5000, 0.5000)
Au (0.2495, 0.2495, 0.2495)
Au (0.7505, 0.7505, 0.7505)

***

4.
The following is a PBE calculation of a relaxed TePd3I2 crystal, from the Alexandria database.

Output
Energy relative to the elements, uncorrected = -0.092 eV/atom

Cell lengths 7.0129, 7.0129, 6.9475 Å; angles 99.78, 99.78, 119.90 degrees
Positions (direct):
Te (0.0833, 0.9167, 0.7500)
Te (0.9167, 0.0833, 0.2500)
Pd (0.0000, 0.5000, 0.5000)
Pd (0.1543, 0.3083, 0.9983)
Pd (0.3083, 0.1543, 0.4983)
Pd (0.5000, 0.0000, 0.0000)
Pd (0.6917, 0.8457, 0.5017)
Pd (0.8457, 0.6917, 0.0017)
I (0.2562, 0.7438, 0.2500)
I (0.4138, 0.5862, 0.7500)
I (0.5862, 0.4138, 0.2500)
I (0.7438, 0.2562, 0.7500)

***

5.
The following is a PBE calculation of a relaxed Bi13Ir2 crystal, from the Alexandria database.

Output
Total energy = -4.423 eV per atom

Cell lengths 5.9537, 9.5170, 9.8752 Å; angles 117.68, 90.82, 97.82 degrees
Positions (direct):
Bi (0.0000, 0.0000, 0.0000)
Bi (0.1006, 0.4197, 0.0889)
Bi (0.2098, 0.8903, 0.2770)
Bi (0.2324, 0.8699, 0.5966)
Bi (0.2856, 0.2613, 0.3732)
Bi (0.4002, 0.3796, 0.7339)
Bi (0.4203, 0.7749, 0.9268)
Bi (0.5797, 0.2251, 0.0732)
Bi (0.5998, 0.6204, 0.2661)
Bi (0.7144, 0.7387, 0.6268)
Bi (0.7676, 0.1301, 0.4034)
Bi (0.7902, 0.1097, 0.7230)
Bi (0.8994, 0.5803, 0.9111)
Ir (0.2672, 0.1734, 0.8415)
Ir (0.7328, 0.8266, 0.1585)

***

6.
The following is a PBE calculation of a relaxed Ho2TmGe2Rh5 crystal, from the Alexandria database.

Output
Total energy = -6.847 eV per atom

Cell lengths 9.9145, 9.9145, 3.6472 Å; angles 90.00, 90.00, 90.00 degrees
Positions (direct):
Ho (0.1732, 0.3268, 0.0000)
Ho (0.3268, 0.8268, 0.0000)
Ho (0.6732, 0.1732, 0.0000)
Ho (0.8268, 0.6732, 0.0000)
Tm (0.0000, 0.0000, 0.0000)
Tm (0.5000, 0.5000, 0.0000)
Ge (0.1237, 0.6237, 0.0000)
Ge (0.3763, 0.1237, 0.0000)
Ge (0.6237, 0.8763, 0.0000)
Ge (0.8763, 0.3763, 0.0000)
Rh (0.0000, 0.5000, 0.5000)
Rh (0.0696, 0.7850, 0.5000)
Rh (0.2150, 0.0696, 0.5000)
Rh (0.2850, 0.5696, 0.5000)
Rh (0.4304, 0.2850, 0.5000)
Rh (0.5000, 0.0000, 0.5000)
Rh (0.5696, 0.7150, 0.5000)
Rh (0.7150, 0.4304, 0.5000)
Rh (0.7850, 0.9304, 0.5000)
Rh (0.9304, 0.2150, 0.5000)

***

7.
The following is a PBE calculation of a relaxed Ho5CoCu4 crystal, from the Alexandria database.

Output
Total energy = -4.885 eV per atom

Cell lengths 3.4072, 3.4072, 17.3701 Å; angles 90.00, 90.00, 90.00 degrees
Positions (direct):
Ho (0.0000, 0.0000, 0.0000)
Ho (0.0000, 0.0000, 0.2026)
Ho (0.0000, 0.0000, 0.4058)
Ho (0.0000, 0.0000, 0.5942)
Ho (0.0000, 0.0000, 0.7974)
Co (0.5000, 0.5000, 0.5000)
Cu (0.5000, 0.5000, 0.1006)
Cu (0.5000, 0.5000, 0.3028)
Cu (0.5000, 0.5000, 0.6972)
Cu (0.5000, 0.5000, 0.8994)

***

8.
The following is a PBE calculation of a relaxed TbHoLuAl crystal, from the Alexandria database.

Output
Total energy = -4.448 eV per atom

Cell lengths 5.3055, 5.3055, 5.3055 Å; angles 60.00, 60.00, 60.00 degrees
Positions (direct):
Tb (0.0000, 0.0000, 0.0000)
Ho (0.5000, 0.5000, 0.5000)
Lu (0.2500, 0.2500, 0.2500)
Al (0.7500, 0.7500, 0.7500)

***

| no. | spin magnetization (μB per formula unit) | N(E_F) (states/eV/f.u.) |
| --- | --- | --- |
| 1 | 0.00 | 2.06 |
| 2 | 9.00 | 1.29 |
| 3 | 1.25 | 5.73 |
| 4 | 0.00 | 4.11 |
| 5 | 0.00 | 8.27 |
| 6 | 0.00 | 5.18 |
| 7 | 0.68 | 5.47 |
| 8 | 0.00 | 5.37 |